VASP calculation (PBE-GGA) on an optimized crystal structure of Na2CdBi2.

Computed properties:
As for the formation energy: 84 meV/atom.

abc: 4.8521 4.8521 13.8955
angles: 90.00 90.00 90.00
With the nearest neighbours (Å) after each atom.
Space group I4/mmm (No. 139)
Asymmetric unit:
Na (0.0000, 0.5000, 0.2500)  4 Bi 3.17, 4 Na 3.43
Cd (0.0000, 0.0000, 0.0000)  8 Bi 3.72
Bi (0.0000, 0.0000, 0.3964)  1 Bi 2.88, 4 Na 3.17